Entry from the Alexandria database: an optimized crystal structure of Eu8Mn3Nb5O28 (PBE+U).

Properties
Volume: 601.1 Å³ per cell
Electronic total energy: -9.242 eV per atom

Unit cell a=7.720 b=7.720 c=11.833 alpha=80.26 beta=80.26 gamma=60.37
Sites, in units of the cell vectors:
O1 0.934 0.845 0.020
O2 0.857 0.562 0.164
O3 0.443 0.764 0.473
O4 0.367 0.594 0.137
O5 0.069 0.151 0.486
O6 0.556 0.247 0.021
O7 0.572 0.844 0.026
O8 0.678 0.891 0.321
O9 0.564 0.857 0.664
O10 0.582 0.375 0.657
O11 0.849 0.931 0.514
O12 0.153 0.875 0.334
O13 0.438 0.143 0.836
O14 0.878 0.688 0.826
O15 0.312 0.122 0.174
O16 0.849 0.126 0.168
O17 0.837 0.568 0.522
O18 0.143 0.436 0.336
O19 0.432 0.163 0.478
O20 0.155 0.066 0.980
O21 0.625 0.418 0.343
O22 0.753 0.444 0.979
O23 0.406 0.633 0.863
O24 0.874 0.151 0.832
O25 0.156 0.428 0.974
O26 0.125 0.847 0.666
O27 0.109 0.322 0.679
O28 0.236 0.557 0.527
Eu1 0.988 0.242 0.284
Eu2 0.758 0.012 0.716
Eu3 0.246 0.993 0.769
Eu4 0.007 0.754 0.231
Eu5 0.751 0.506 0.740
Eu6 0.494 0.249 0.260
Eu7 0.244 0.503 0.749
Eu8 0.497 0.756 0.251
Mn1 0.541 0.459 0.500
Mn2 0.145 0.855 0.500
Mn3 0.479 0.521 0.000
Nb1 0.635 0.878 0.496
Nb2 0.122 0.365 0.504
Nb3 0.882 0.621 0.997
Nb4 0.881 0.119 0.000
Nb5 0.379 0.118 0.003